No. 1
Compound: MgHSe2Br
Source: Alexandria via LeMat-Bulk
Functional: PBE-GGA
Structure: relaxed

## Properties
V in A^3/atom: 29.2
Relative energy among the computed polymorphs in eV per atom: 0.437

Lattice parameters (Å, degrees): 5.220 5.220 5.351 90.00 90.00 90.00
Fractional positions:
1 H 0.500 0.500 0.500
2 Mg 0.000 0.000 0.000
3 Se 0.000 0.500 0.000
4 Se 0.500 0.000 0.000
5 Br 0.000 0.000 0.500

---

No. 2
Compound: RbV2W
Source: Alexandria via LeMat-Bulk
Functional: PBE-GGA
Structure: relaxed

## Properties
V in A^3/atom: 30.0
Relative energy among the computed polymorphs in eV per atom: 0.139
Energy relative to the elements in eV per atom: 1.886

Lattice parameters (Å, degrees): 5.486 5.486 8.869 71.98 71.98 90.00
Fractional positions:
1 W 0.000 0.000 0.000
2 W 0.750 0.250 0.500
3 Rb 0.500 0.500 0.000
4 Rb 0.250 0.750 0.500
5 V 0.875 0.125 0.250
6 V 0.875 0.625 0.250
7 V 0.375 0.125 0.750
8 V 0.875 0.125 0.750

---

No. 3
Compound: Ca3TmSc3Te8
Source: Alexandria via LeMat-Bulk
Functional: PBE-GGA
Structure: relaxed

## Properties
V in A^3/atom: 30.3
Formation energy from raw total energies in eV/atom: -1.39

Lattice parameters (Å, degrees): 8.523 8.524 8.749 119.16 90.00 119.99
Fractional positions:
1 Ca 0.000 0.000 0.000
2 Ca 0.000 0.500 0.000
3 Ca 0.500 0.500 0.000
4 Tm 0.000 0.000 0.500
5 Sc 0.500 0.000 0.500
6 Sc 0.500 0.500 0.500
7 Sc 0.000 0.500 0.500
8 Te 0.256 0.512 0.269
9 Te 0.744 0.488 0.731
10 Te 0.749 0.497 0.263
11 Te 0.251 0.503 0.737
12 Te 0.749 0.015 0.263
13 Te 0.251 0.985 0.737
14 Te 0.266 0.015 0.263
15 Te 0.734 0.985 0.737

---

No. 4
Compound: Ca2AlMo
Source: Alexandria via LeMat-Bulk
Functional: PBE-GGA
Structure: relaxed

## Properties
V in A^3/atom: 22.1
Energy relative to the elements in eV per atom: 0.498

Lattice parameters (Å, degrees): 4.842 4.276 4.276 90.00 90.00 90.00
Fractional positions:
1 Mo 0.500 0.500 0.000
2 Ca 0.000 0.000 0.000
3 Ca 0.000 0.500 0.500
4 Al 0.500 0.000 0.500